# 1
Compound: BaCd3Co
Source: the Alexandria database
Functional: PBE-GGA
Structure: relaxed

Cell and atoms, written as POSCAR:
```
BaCd3Co
1.0
6.6391 0.0000 0.0000
0.0000 6.6391 0.0000
0.0000 0.0000 6.6391
Ba Cd Co
1 3 1
direct
0.0000 0.0000 0.0000
0.0000 0.0000 0.5000
0.0000 0.5000 0.0000
0.5000 0.0000 0.0000
0.5000 0.5000 0.5000
```

Summary:
* excess energy over the best structure of this formula in the dataset: 6.673 eV/f.u.
* DFT total energy: -5.32 eV/f.u.
* V: 58.527 Å³ per atom
* energy relative to the elements: 1.292 eV per atom
* symmetry: Pm-3m, No. 221

***

# 2
Compound: BaCd2Co
Source: the Alexandria database
Functional: PBE-GGA
Structure: relaxed

Cell and atoms, written as POSCAR:
```
BaCd2Co
1.0
5.3858 0.0000 0.0000
0.0000 5.3858 0.0000
0.0000 0.0000 17.9169
Ba Cd Co
4 8 4
direct
0.0000 0.0000 0.0000
0.0000 0.5000 0.2500
0.5000 0.0000 0.7500
0.5000 0.5000 0.5000
0.0013 0.7500 0.6250
0.2500 0.0013 0.3750
0.2500 0.4987 0.8750
0.4987 0.7500 0.1250
0.5013 0.2500 0.1250
0.7500 0.5013 0.8750
0.7500 0.9987 0.3750
0.9987 0.2500 0.6250
0.0000 0.0000 0.5000
0.0000 0.5000 0.7500
0.5000 0.0000 0.2500
0.5000 0.5000 0.0000
```

Summary:
* DFT total energy: -9.69 eV/f.u.
* V: 32.483 Å³ per atom
* energy relative to the elements: 0.293 eV per atom
* symmetry: I-42d, No. 122